Ce5PuSnGe2 | PBE | relaxed

The calculation puts the density of states at the Fermi level at 2.309 states/eV per atom. The calculation puts the total energy at -0.2503 hartree per atom. Its size of the total moment is 9.44 μB/f.u. Its space-group type is No. 140.

Cell: 7.6775 7.6775 9.5701 Å, 113.65 113.65 90.00°
Fractional coordinates of all 18 atoms:
Ce1 0.9546 0.4546 0.2666
Ce2 0.6880 0.1880 0.7334
Ce3 0.0454 0.5454 0.7334
Ce4 0.1880 0.0454 0.7334
Ce5 0.5454 0.6880 0.7334
Ce6 0.8120 0.9546 0.2666
Ce7 0.4546 0.3120 0.2666
Ce8 0.3120 0.8120 0.2666
Ce9 0.5000 0.5000 0.0000
Ce10 0.0000 0.0000 0.0000
Pu1 0.2500 0.7500 0.5000
Pu2 0.7500 0.2500 0.5000
Sn1 0.2500 0.2500 0.5000
Sn2 0.7500 0.7500 0.5000
Ge1 0.1224 0.3776 0.0000
Ge2 0.6224 0.1224 0.0000
Ge3 0.3776 0.8776 0.0000
Ge4 0.8776 0.6224 0.0000